1 | DFT (PBE) results for a relaxed structure of KSrNb.

Cell and atoms, written as POSCAR:
```
KSrNb
1.0
5.6763 -3.1466 0.0000
5.6763 3.1466 0.0000
-1.9523 0.0000 6.9191
K Sr Nb
2 2 2
direct
0.0000 0.0000 0.0000
0.2279 0.2279 0.5583
0.6157 0.6157 0.8590
0.8555 0.8555 0.3898
0.3446 0.3446 0.1047
0.5180 0.5180 0.3214
```

Summary:
**Magnetization**: 0.0 Bohr magnetons per cell
**Space group**: Cm, No. 8

***

2 | DFT (PBE) results for a relaxed structure of KSrNb.

Cell and atoms, written as POSCAR:
```
KSrNb
1.0
5.4364 0.0000 0.0000
0.0000 5.4364 0.0000
0.0000 0.0000 9.5333
K Sr Nb
2 2 2
direct
0.2500 0.2500 0.1388
0.7500 0.7500 0.8612
0.2500 0.7500 0.5000
0.7500 0.2500 0.5000
0.2500 0.2500 0.7313
0.7500 0.7500 0.2687
```

Summary:
**Magnetization**: 9.8 Bohr magnetons per cell
**Space group**: P4/nmm, No. 129

***

3 | DFT (PBE) results for a relaxed structure of KSrNb.

Cell and atoms, written as POSCAR:
```
KSrNb
1.0
4.1511 0.0000 0.0000
0.0000 5.1045 0.0000
0.0000 0.0000 25.6131
K Sr Nb
4 4 4
direct
0.2453 0.2500 0.0662
0.2547 0.7500 0.5662
0.7453 0.2500 0.4338
0.7547 0.7500 0.9338
0.2436 0.7500 0.3167
0.2564 0.2500 0.8167
0.7436 0.7500 0.1833
0.7564 0.2500 0.6833
0.2434 0.2500 0.2216
0.2566 0.7500 0.7216
0.7434 0.2500 0.2784
0.7566 0.7500 0.7784
```

Summary:
**Magnetization**: 0.0 Bohr magnetons per cell
**Space group**: Pnma, No. 62

***

4 | DFT (PBE) results for a relaxed structure of KSrNb.

Cell and atoms, written as POSCAR:
```
KSrNb
1.0
3.6428 0.0000 0.0000
-1.6507 4.3988 0.0000
-0.8273 -0.8140 16.5882
K Sr Nb
2 2 2
direct
0.2019 0.2302 0.3834
0.7981 0.7698 0.6166
0.3794 0.3130 0.8420
0.6206 0.6869 0.1580
0.1253 0.7709 0.9855
0.8747 0.2291 0.0145
```

Summary:
**Magnetization**: 0.0 Bohr magnetons per cell
**Space group**: P-1, No. 2

***

Quick one: least stable of them? 2